Entry from the Alexandria database: crystalline IrOsAu at its relaxed geometry (PBE).

abc: 2.7917 2.7917 12.0367
angles: 90.00 90.00 90.00
Last column: nearest neighbours and their distance in Å.
Space group I4mm (No. 107)
Symmetry-distinct sites (fractional):
Ir 0.0000 0.0000 0.0000 [2 per cell]  4 Os 2.61, 4 Ir 2.79
Os 0.0000 0.0000 0.3575 [2 per cell]  4 Ir 2.61, 4 Os 2.79, 4 Au 2.90
Au 0.0000 0.0000 0.6812 [2 per cell]  4 Au 2.79, 4 Os 2.90, 4 Ir 2.94

## Properties
Fermi-level density of states   0.71 states/eV per atom
Distance to the lowest polymorph of the same formula   0 meV per atom
Formation energy   282 meV/atom

***

Entry from the Alexandria database: crystalline Zn3CuI at its relaxed geometry (PBE).

abc: 4.8729 4.8729 4.8729
angles: 90.00 90.00 90.00
Last column: nearest neighbours and their distance in Å.
Space group Pm-3m (No. 221)
Symmetry-distinct sites (fractional):
Zn 0.0000 0.0000 0.5000 [3 per cell]  2 Cu 2.44
Cu 0.0000 0.0000 0.0000 [1 per cell]  6 Zn 2.44
I 0.5000 0.5000 0.5000 [1 per cell]  12 Zn 3.45

## Properties
Fermi-level density of states   0.36 states/eV per atom
Distance to the lowest polymorph of the same formula   0 meV per atom
Formation energy (no corrections)   0.1870 eV per atom

***

Entry from the Alexandria database: crystalline Ca2Mg3Zn at its relaxed geometry (PBE).

abc: 6.0843 6.0843 14.6655
angles: 90.00 90.00 120.00
Last column: nearest neighbours and their distance in Å.
Space group R-3m (No. 166, hexagonal axes)
Symmetry-distinct sites (fractional):
Ca 0.0000 0.0000 0.1264 [6 per cell]  9 Mg 3.51-3.56, 3 Zn 3.56, 4 Ca 3.71
Mg 0.0000 0.5000 0.0000 [9 per cell]  2 Zn 3.01, 4 Mg 3.04
Zn 0.0000 0.0000 0.5000 [3 per cell]  6 Mg 3.01

## Properties
Fermi-level density of states   0.74 states/eV per atom
Distance to the lowest polymorph of the same formula   3 meV per atom
Formation energy   -144 meV/atom

***

Entry from the Alexandria database: crystalline TbDyAl2 at its relaxed geometry (PBE).

abc: 3.5860 3.5860 27.6498
angles: 90.00 90.00 120.00
Last column: nearest neighbours and their distance in Å.
Space group R-3m (No. 166, hexagonal axes)
Symmetry-distinct sites (fractional):
Tb 0.0000 0.0000 0.0000 [3 per cell]  6 Al 3.10
Dy 0.0000 0.0000 0.5000 [3 per cell]  6 Al 3.09
Al 0.0000 0.0000 0.2497 [6 per cell]  3 Dy 3.09, 3 Tb 3.10

## Properties
Fermi-level density of states   0.41 states/eV per atom
Formation energy   -164 meV/atom

***

Entry from the Alexandria database: crystalline ZrRh2Cl at its relaxed geometry (PBE).

abc: 6.4687 6.4687 6.4687
angles: 90.00 90.00 90.00
Last column: nearest neighbours and their distance in Å.
Space group Fm-3m (No. 225)
Symmetry-distinct sites (fractional):
Zr 0.0000 0.0000 0.0000 [4 per cell]  8 Rh 2.80
Rh 0.2500 0.2500 0.2500 [8 per cell]  4 Zr 2.80, 4 Cl 2.80
Cl 0.0000 0.0000 0.5000 [4 per cell]  8 Rh 2.80

## Properties
Fermi-level density of states   0.52 states/eV per atom
Distance to the lowest polymorph of the same formula   410 meV per atom
Formation energy (no corrections)   -0.0324 eV per atom

***

Entry from the Alexandria database: crystalline HPt3O at its relaxed geometry (PBE).

abc: 3.9485 3.9485 3.9485
angles: 90.00 90.00 90.00
Last column: nearest neighbours and their distance in Å.
Space group Pm-3m (No. 221)
Symmetry-distinct sites (fractional):
H 0.0000 0.0000 0.0000 [1 per cell]  6 Pt 1.97
Pt 0.0000 0.0000 0.5000 [3 per cell]  2 H 1.97
O 0.5000 0.5000 0.5000 [1 per cell]  12 Pt 2.79

## Properties
Fermi-level density of states   1.61 states/eV per atom
Distance to the lowest polymorph of the same formula   0 meV per atom

***

Entry from the Alexandria database: crystalline Bi2PbBr8 at its relaxed geometry (PBE).

abc: 20.2139 3.9909 10.5430
angles: 90.00 91.42 90.00
Last column: nearest neighbours and their distance in Å.
Space group C2/m (No. 12)
Symmetry-distinct sites (fractional):
Bi 0.1570 0.0000 0.2288 [4 per cell]  7 Br 2.91-3.17
Pb 0.0000 0.5000 0.5000 [2 per cell]  6 Br 3.02-3.08
Br 0.0034 0.0000 0.2846 [4 per cell]  2 Pb 3.02, 1 Bi 3.17
Br 0.1020 0.5000 0.0557 [4 per cell]  2 Bi 2.91
Br 0.1494 0.5000 0.4484 [4 per cell]  2 Bi 3.06, 1 Pb 3.08
Br 0.2360 0.0000 0.8014 [4 per cell]  2 Bi 2.97

## Properties
Fermi-level density of states   0.00 states/eV per atom
Formation energy (no corrections)   -0.7219 eV per atom

***

Entry from the Alexandria database: crystalline Ac5Pm2PrHo at its relaxed geometry (PBE).

abc: 5.8253 22.9069 11.0814
angles: 90.00 90.00 90.00
Last column: nearest neighbours and their distance in Å.
Space group Cmc2_1 (No. 36)
Symmetry-distinct sites (fractional):
Ac 0.0000 0.0001 0.0000 [4 per cell]  2 Pr 3.57, 4 Pm 3.91
Ac 0.0000 0.1285 0.2498 [4 per cell]  1 Ho 3.79, 6 Ac 4.04-4.11, 4 Pm 4.06
Ac 0.0000 0.2182 0.5632 [4 per cell]  1 Pr 3.44, 2 Ac 3.54, 2 Ho 3.58, 2 Pm 3.83
Ac 0.0000 0.2188 0.9355 [4 per cell]  1 Pr 3.44, 2 Ac 3.54, 2 Ho 3.58, 2 Pm 3.83
Ac 0.0000 0.4981 0.7499 [4 per cell]  2 Pr 3.71, 4 Pm 3.80-3.81, 6 Ac 4.02-4.11
Pm 0.0000 0.3863 0.0028 [4 per cell]  1 Ho 3.45, 4 Ac 3.80-3.83
Pm 0.0000 0.3859 0.4969 [4 per cell]  1 Ho 3.46, 4 Ac 3.80-3.83
Pr 0.0000 0.0981 0.7500 [4 per cell]  6 Ac 3.44-3.71, 2 Ho 3.82
Ho 0.0000 0.2940 0.2494 [4 per cell]  2 Pm 3.45-3.46, 5 Ac 3.58-3.79, 2 Pr 3.82

## Properties
Fermi-level density of states   1.51 states/eV per atom
Formation energy   138 meV/atom